## KCdNF2 (GGA-PBEsol)

Data for a relaxed KCdNF2 crystal.

Structure (POSCAR):
```
KCdNF2
1.0
4.283 0.000 0.000
0.000 4.552 0.000
0.000 0.000 4.552
F K Cd N
2 1 1 1
direct
0.000 0.000 0.500
0.000 0.500 0.000
0.500 0.500 0.500
0.000 0.000 0.000
0.500 0.000 0.000
```

Results
- ΔE_f (raw): -942 meV/atom
- Space group: P4/mmm (123)